(1)
# CePmDyLu (GGA-PBE, relaxed)
data_CePmDyLu
_chemical_formula_sum 'Ce4 Pm4 Dy4 Lu4'
_space_group_name_H-M_alt 'F -4 3 m'
_space_group_IT_number 216
_space_group_name_Hall 'F -4 2 3'
_cell_length_a 8.0139
_cell_length_b 8.0139
_cell_length_c 8.0139
_cell_angle_alpha 90.00
_cell_angle_beta 90.00
_cell_angle_gamma 90.00
loop_
_atom_site_label
_atom_site_type_symbol
_atom_site_fract_x
_atom_site_fract_y
_atom_site_fract_z
Ce1 Ce 0.0000 0.0000 0.0000
Pm1 Pm 0.2500 0.2500 0.2500
Dy1 Dy 0.2500 0.2500 0.7500
Lu1 Lu 0.0000 0.0000 0.5000
# - E_form: 18.5 kJ per mole of atoms
# - M_tot: 0.7832 μB per atom
# - Theoretical density: 8.03 Mg/m³


(2)
# CePrDyLu (GGA-PBE, relaxed)
data_CePrDyLu
_chemical_formula_sum 'Ce4 Pr4 Dy4 Lu4'
_space_group_name_H-M_alt 'F -4 3 m'
_space_group_IT_number 216
_space_group_name_Hall 'F -4 2 3'
_cell_length_a 8.0221
_cell_length_b 8.0221
_cell_length_c 8.0221
_cell_angle_alpha 90.00
_cell_angle_beta 90.00
_cell_angle_gamma 90.00
loop_
_atom_site_label
_atom_site_type_symbol
_atom_site_fract_x
_atom_site_fract_y
_atom_site_fract_z
Ce1 Ce 0.0000 0.0000 0.0000
Pr1 Pr 0.0000 0.0000 0.5000
Dy1 Dy 0.2500 0.2500 0.2500
Lu1 Lu 0.2500 0.2500 0.7500
# - E_form: 14.6 kJ per mole of atoms
# - M_tot: 0.1664 μB per atom
# - Theoretical density: 7.96 Mg/m³


(3)
# CeDyLuPu (GGA-PBE, relaxed)
data_CeDyLuPu
_chemical_formula_sum 'Ce4 Dy4 Lu4 Pu4'
_space_group_name_H-M_alt 'F -4 3 m'
_space_group_IT_number 216
_space_group_name_Hall 'F -4 2 3'
_cell_length_a 7.7760
_cell_length_b 7.7760
_cell_length_c 7.7760
_cell_angle_alpha 90.00
_cell_angle_beta 90.00
_cell_angle_gamma 90.00
loop_
_atom_site_label
_atom_site_type_symbol
_atom_site_fract_x
_atom_site_fract_y
_atom_site_fract_z
Ce1 Ce 0.0000 0.0000 0.0000
Dy1 Dy 0.2500 0.2500 0.2500
Lu1 Lu 0.0000 0.0000 0.5000
Pu1 Pu 0.2500 0.2500 0.7500
# - E_form: 17.6 kJ per mole of atoms
# - M_tot: 2.1236 μB per atom
# - Theoretical density: 10.19 Mg/m³


(4)
# CeDyLuSc (GGA-PBE, relaxed)
data_CeDyLuSc
_chemical_formula_sum 'Ce4 Dy4 Lu4 Sc4'
_space_group_name_H-M_alt 'F -4 3 m'
_space_group_IT_number 216
_space_group_name_Hall 'F -4 2 3'
_cell_length_a 7.7500
_cell_length_b 7.7500
_cell_length_c 7.7500
_cell_angle_alpha 90.00
_cell_angle_beta 90.00
_cell_angle_gamma 90.00
loop_
_atom_site_label
_atom_site_type_symbol
_atom_site_fract_x
_atom_site_fract_y
_atom_site_fract_z
Ce1 Ce 0.0000 0.0000 0.0000
Dy1 Dy 0.0000 0.0000 0.5000
Lu1 Lu 0.2500 0.2500 0.2500
Sc1 Sc 0.2500 0.2500 0.7500
# - E_form: 11.0 kJ per mole of atoms
# - M_tot: 0.1068 μB per atom
# - Theoretical density: 7.46 Mg/m³


(5)
# CeSmDyLu (GGA-PBE, relaxed)
data_CeSmDyLu
_chemical_formula_sum 'Ce4 Sm4 Dy4 Lu4'
_space_group_name_H-M_alt 'F -4 3 m'
_space_group_IT_number 216
_space_group_name_Hall 'F -4 2 3'
_cell_length_a 7.9804
_cell_length_b 7.9804
_cell_length_c 7.9804
_cell_angle_alpha 90.00
_cell_angle_beta 90.00
_cell_angle_gamma 90.00
loop_
_atom_site_label
_atom_site_type_symbol
_atom_site_fract_x
_atom_site_fract_y
_atom_site_fract_z
Ce1 Ce 0.0000 0.0000 0.0000
Sm1 Sm 0.0000 0.0000 0.5000
Dy1 Dy 0.2500 0.2500 0.7500
Lu1 Lu 0.2500 0.2500 0.2500
# - E_form: 14.7 kJ per mole of atoms
# - M_tot: 0.1830 μB per atom
# - Theoretical density: 8.21 Mg/m³


(6)
# CeDyLuSn (GGA-PBE, relaxed)
data_CeDyLuSn
_chemical_formula_sum 'Ce4 Dy4 Lu4 Sn4'
_space_group_name_H-M_alt 'F -4 3 m'
_space_group_IT_number 216
_space_group_name_Hall 'F -4 2 3'
_cell_length_a 7.6437
_cell_length_b 7.6437
_cell_length_c 7.6437
_cell_angle_alpha 90.00
_cell_angle_beta 90.00
_cell_angle_gamma 90.00
loop_
_atom_site_label
_atom_site_type_symbol
_atom_site_fract_x
_atom_site_fract_y
_atom_site_fract_z
Ce1 Ce 0.0000 0.0000 0.0000
Dy1 Dy 0.0000 0.0000 0.5000
Lu1 Lu 0.2500 0.2500 0.2500
Sn1 Sn 0.2500 0.2500 0.7500
# - E_form: -19.4 kJ per mole of atoms
# - M_tot: 0.1744 μB per atom
# - Theoretical density: 8.87 Mg/m³


(7)
# TbCeDyLu (GGA-PBE, relaxed)
data_TbCeDyLu
_chemical_formula_sum 'Tb4 Ce4 Dy4 Lu4'
_space_group_name_H-M_alt 'F -4 3 m'
_space_group_IT_number 216
_space_group_name_Hall 'F -4 2 3'
_cell_length_a 7.9474
_cell_length_b 7.9474
_cell_length_c 7.9474
_cell_angle_alpha 90.00
_cell_angle_beta 90.00
_cell_angle_gamma 90.00
loop_
_atom_site_label
_atom_site_type_symbol
_atom_site_fract_x
_atom_site_fract_y
_atom_site_fract_z
Tb1 Tb 0.0000 0.0000 0.0000
Ce1 Ce 0.0000 0.0000 0.5000
Dy1 Dy 0.2500 0.2500 0.2500
Lu1 Lu 0.2500 0.2500 0.7500
# - E_form: 14.9 kJ per mole of atoms
# - M_tot: 0.2054 μB per atom
# - Theoretical density: 8.42 Mg/m³


(8)
# CeDyLuTh (GGA-PBE, relaxed)
data_CeDyLuTh
_chemical_formula_sum 'Ce4 Dy4 Lu4 Th4'
_space_group_name_H-M_alt 'F -4 3 m'
_space_group_IT_number 216
_space_group_name_Hall 'F -4 2 3'
_cell_length_a 7.9468
_cell_length_b 7.9468
_cell_length_c 7.9468
_cell_angle_alpha 90.00
_cell_angle_beta 90.00
_cell_angle_gamma 90.00
loop_
_atom_site_label
_atom_site_type_symbol
_atom_site_fract_x
_atom_site_fract_y
_atom_site_fract_z
Ce1 Ce 0.0000 0.0000 0.0000
Dy1 Dy 0.0000 0.0000 0.5000
Lu1 Lu 0.2500 0.2500 0.2500
Th1 Th 0.2500 0.2500 0.7500
# - E_form: 22.1 kJ per mole of atoms
# - M_tot: 0.7189 μB per atom
# - Theoretical density: 9.39 Mg/m³


(9)
# CeDyLuTl (GGA-PBE, relaxed)
data_CeDyLuTl
_chemical_formula_sum 'Ce4 Dy4 Lu4 Tl4'
_space_group_name_H-M_alt 'F -4 3 m'
_space_group_IT_number 216
_space_group_name_Hall 'F -4 2 3'
_cell_length_a 7.5889
_cell_length_b 7.5889
_cell_length_c 7.5889
_cell_angle_alpha 90.00
_cell_angle_beta 90.00
_cell_angle_gamma 90.00
loop_
_atom_site_label
_atom_site_type_symbol
_atom_site_fract_x
_atom_site_fract_y
_atom_site_fract_z
Ce1 Ce 0.0000 0.0000 0.0000
Dy1 Dy 0.2500 0.2500 0.7500
Lu1 Lu 0.2500 0.2500 0.2500
Tl1 Tl 0.0000 0.0000 0.5000
# - E_form: 4.4 kJ per mole of atoms
# - M_tot: 0.1446 μB per atom
# - Theoretical density: 10.36 Mg/m³


(10)
# CeDy4Mg5 (GGA-PBE, relaxed)
data_CeDy4Mg5
_chemical_formula_sum 'Ce1 Dy4 Mg5'
_space_group_name_H-M_alt 'P 4/m m m'
_space_group_IT_number 123
_space_group_name_Hall '-P 4 2'
_cell_length_a 3.7859
_cell_length_b 3.7859
_cell_length_c 19.1084
_cell_angle_alpha 90.00
_cell_angle_beta 90.00
_cell_angle_gamma 90.00
loop_
_atom_site_label
_atom_site_type_symbol
_atom_site_fract_x
_atom_site_fract_y
_atom_site_fract_z
Ce1 Ce 0.0000 0.0000 0.0000
Dy1 Dy 0.0000 0.0000 0.2034
Dy2 Dy 0.0000 0.0000 0.4011
Mg1 Mg 0.5000 0.5000 0.1051
Mg2 Mg 0.5000 0.5000 0.3020
Mg3 Mg 0.5000 0.5000 0.5000
# - E_form: -4.4 kJ per mole of atoms
# - M_tot: 0.0905 μB per atom
# - Theoretical density: 5.53 Mg/m³


(11)
# CeDyMg2 (GGA-PBE, relaxed)
data_CeDyMg2
_chemical_formula_sum 'Ce3 Dy3 Mg6'
_space_group_name_H-M_alt 'R -3 m'
_space_group_IT_number 166
_space_group_name_Hall '-R 3 2"'
_cell_length_a 3.2835
_cell_length_b 3.2835
_cell_length_c 34.5113
_cell_angle_alpha 90.00
_cell_angle_beta 90.00
_cell_angle_gamma 120.00
loop_
_atom_site_label
_atom_site_type_symbol
_atom_site_fract_x
_atom_site_fract_y
_atom_site_fract_z
Ce1 Ce 0.0000 0.0000 0.0000
Dy1 Dy 0.0000 0.0000 0.5000
Mg1 Mg 0.0000 0.0000 0.2491
# - Excess energy over the best structure of this formula in the dataset: 0.26 eV per formula unit
# - E_form: 5.8 kJ per mole of atoms
# - M_tot: 0.1679 μB per atom
# - Theoretical density: 5.43 Mg/m³


(12)
# CeDy5Mg4 (GGA-PBE, relaxed)
data_CeDy5Mg4
_chemical_formula_sum 'Ce1 Dy5 Mg4'
_space_group_name_H-M_alt 'P 4/m m m'
_space_group_IT_number 123
_space_group_name_Hall '-P 4 2'
_cell_length_a 3.6879
_cell_length_b 3.6879
_cell_length_c 20.4725
_cell_angle_alpha 90.00
_cell_angle_beta 90.00
_cell_angle_gamma 90.00
loop_
_atom_site_label
_atom_site_type_symbol
_atom_site_fract_x
_atom_site_fract_y
_atom_site_fract_z
Ce1 Ce 0.0000 0.0000 0.0000
Dy1 Dy 0.5000 0.5000 0.1127
Dy2 Dy 0.5000 0.5000 0.3104
Dy3 Dy 0.5000 0.5000 0.5000
Mg1 Mg 0.0000 0.0000 0.2121
Mg2 Mg 0.0000 0.0000 0.4051
# - E_form: -3.0 kJ per mole of atoms
# - M_tot: 0.0968 μB per atom
# - Theoretical density: 6.26 Mg/m³


(13)
# CeDyMg6 (GGA-PBE, relaxed)
data_CeDyMg6
_chemical_formula_sum 'Ce1 Dy1 Mg6'
_space_group_name_H-M_alt 'P -6 m 2'
_space_group_IT_number 187
_space_group_name_Hall 'P -6 2'
_cell_length_a 6.7173
_cell_length_b 6.7173
_cell_length_c 5.2050
_cell_angle_alpha 90.00
_cell_angle_beta 90.00
_cell_angle_gamma 120.00
loop_
_atom_site_label
_atom_site_type_symbol
_atom_site_fract_x
_atom_site_fract_y
_atom_site_fract_z
Ce1 Ce 0.0000 0.0000 0.0000
Dy1 Dy 0.3333 0.6667 0.5000
Mg1 Mg 0.3400 0.1700 0.5000
Mg2 Mg 0.5027 0.0055 0.0000
# - Excess energy over the best structure of this formula in the dataset: 0.00 eV per formula unit
# - E_form: -2.1 kJ per mole of atoms
# - M_tot: 0.1330 μB per atom
# - Theoretical density: 3.66 Mg/m³


(14)
# CeDyMg2 (GGA-PBE, relaxed)
data_CeDyMg2
_chemical_formula_sum 'Ce1 Dy1 Mg2'
_space_group_name_H-M_alt 'P 4/m m m'
_space_group_IT_number 123
_space_group_name_Hall '-P 4 2'
_cell_length_a 5.4256
_cell_length_b 5.4256
_cell_length_c 3.7493
_cell_angle_alpha 90.00
_cell_angle_beta 90.00
_cell_angle_gamma 90.00
loop_
_atom_site_label
_atom_site_type_symbol
_atom_site_fract_x
_atom_site_fract_y
_atom_site_fract_z
Ce1 Ce 0.0000 0.0000 0.0000
Dy1 Dy 0.5000 0.5000 0.0000
Mg1 Mg 0.0000 0.5000 0.5000
# - Excess energy over the best structure of this formula in the dataset: 0.04 eV per formula unit
# - E_form: 0.5 kJ per mole of atoms
# - M_tot: 0.2756 μB per atom
# - Theoretical density: 5.28 Mg/m³


(15)
# CeDyMg2 (GGA-PBE, relaxed)
data_CeDyMg2
_chemical_formula_sum 'Ce4 Dy4 Mg8'
_space_group_name_H-M_alt 'F m -3 m'
_space_group_IT_number 225
_space_group_name_Hall '-F 4 2 3'
_cell_length_a 7.6152
_cell_length_b 7.6152
_cell_length_c 7.6152
_cell_angle_alpha 90.00
_cell_angle_beta 90.00
_cell_angle_gamma 90.00
loop_
_atom_site_label
_atom_site_type_symbol
_atom_site_fract_x
_atom_site_fract_y
_atom_site_fract_z
Ce1 Ce 0.0000 0.0000 0.0000
Dy1 Dy 0.0000 0.0000 0.5000
Mg1 Mg 0.2500 0.2500 0.2500
# - Excess energy over the best structure of this formula in the dataset: 0.00 eV per formula unit
# - E_form: -0.5 kJ per mole of atoms
# - M_tot: 0.2357 μB per atom
# - Theoretical density: 5.28 Mg/m³


(16)
# CeDyMg4 (GGA-PBE, relaxed)
data_CeDyMg4
_chemical_formula_sum 'Ce4 Dy4 Mg16'
_space_group_name_H-M_alt 'F -4 3 m'
_space_group_IT_number 216
_space_group_name_Hall 'F -4 2 3'
_cell_length_a 8.5477
_cell_length_b 8.5477
_cell_length_c 8.5477
_cell_angle_alpha 90.00
_cell_angle_beta 90.00
_cell_angle_gamma 90.00
loop_
_atom_site_label
_atom_site_type_symbol
_atom_site_fract_x
_atom_site_fract_y
_atom_site_fract_z
Ce1 Ce 0.0000 0.0000 0.0000
Dy1 Dy 0.2500 0.2500 0.2500
Mg1 Mg 0.1248 0.1248 0.6248
# - E_form: -2.5 kJ per mole of atoms
# - M_tot: 0.1763 μB per atom
# - Theoretical density: 4.25 Mg/m³


(17)
# CeDy2Mg5 (GGA-PBE, relaxed)
data_CeDy2Mg5
_chemical_formula_sum 'Ce2 Dy4 Mg10'
_space_group_name_H-M_alt 'I 4/m m m'
_space_group_IT_number 139
_space_group_name_Hall '-I 4 2'
_cell_length_a 5.2877
_cell_length_b 5.2877
_cell_length_c 14.9988
_cell_angle_alpha 90.00
_cell_angle_beta 90.00
_cell_angle_gamma 90.00
loop_
_atom_site_label
_atom_site_type_symbol
_atom_site_fract_x
_atom_site_fract_y
_atom_site_fract_z
Ce1 Ce 0.0000 0.0000 0.0000
Dy1 Dy 0.0000 0.0000 0.2585
Mg1 Mg 0.0000 0.0000 0.5000
Mg2 Mg 0.0000 0.5000 0.1216
# - E_form: -3.8 kJ per mole of atoms
# - M_tot: 0.1442 μB per atom
# - Theoretical density: 4.65 Mg/m³


(18)
# CeDyMg6 (GGA-PBE, relaxed)
data_CeDyMg6
_chemical_formula_sum 'Ce1 Dy1 Mg6'
_space_group_name_H-M_alt 'P 4/m m m'
_space_group_IT_number 123
_space_group_name_Hall '-P 4 2'
_cell_length_a 6.7400
_cell_length_b 6.7400
_cell_length_c 4.5537
_cell_angle_alpha 90.00
_cell_angle_beta 90.00
_cell_angle_gamma 90.00
loop_
_atom_site_label
_atom_site_type_symbol
_atom_site_fract_x
_atom_site_fract_y
_atom_site_fract_z
Ce1 Ce 0.0000 0.0000 0.0000
Dy1 Dy 0.5000 0.5000 0.0000
Mg1 Mg 0.0000 0.5000 0.0000
Mg2 Mg 0.2529 0.2529 0.5000
# - Excess energy over the best structure of this formula in the dataset: 0.23 eV per formula unit
# - E_form: 0.6 kJ per mole of atoms
# - M_tot: 0.1415 μB per atom
# - Theoretical density: 3.60 Mg/m³


(19)
# CeDy4Mg (GGA-PBE, relaxed)
data_CeDy4Mg
_chemical_formula_sum 'Ce1 Dy4 Mg1'
_space_group_name_H-M_alt 'P 4/m m m'
_space_group_IT_number 123
_space_group_name_Hall '-P 4 2'
_cell_length_a 3.5521
_cell_length_b 3.5521
_cell_length_c 14.2276
_cell_angle_alpha 90.00
_cell_angle_beta 90.00
_cell_angle_gamma 90.00
loop_
_atom_site_label
_atom_site_type_symbol
_atom_site_fract_x
_atom_site_fract_y
_atom_site_fract_z
Ce1 Ce 0.0000 0.0000 0.0000
Dy1 Dy 0.0000 0.0000 0.3465
Dy2 Dy 0.5000 0.5000 0.1721
Mg1 Mg 0.5000 0.5000 0.5000
# - E_form: 1.9 kJ per mole of atoms
# - M_tot: 0.0918 μB per atom
# - Theoretical density: 7.53 Mg/m³


(20)
# CeDy2Mg6 (GGA-PBE, relaxed)
data_CeDy2Mg6
_chemical_formula_sum 'Ce1 Dy2 Mg6'
_space_group_name_H-M_alt 'P 6/m m m'
_space_group_IT_number 191
_space_group_name_Hall '-P 6 2'
_cell_length_a 9.1022
_cell_length_b 9.1022
_cell_length_c 3.2580
_cell_angle_alpha 90.00
_cell_angle_beta 90.00
_cell_angle_gamma 120.00
loop_
_atom_site_label
_atom_site_type_symbol
_atom_site_fract_x
_atom_site_fract_y
_atom_site_fract_z
Ce1 Ce 0.0000 0.0000 0.0000
Dy1 Dy 0.3333 0.6667 0.0000
Mg1 Mg 0.0000 0.3354 0.5000
# - E_form: -4.3 kJ per mole of atoms
# - M_tot: 0.1414 μB per atom
# - Theoretical density: 4.34 Mg/m³